Version P
Compound: NdScGe
Source: Alexandria
Functional: PBE
Structure: relaxed

Summary:
total moment: 0.00 μB/cell

Cell lengths 4.8409, 4.8409, 4.8409 Å; angles 60.00, 60.00, 60.00 degrees
Fractional coordinates of all 3 atoms:
Nd  0.0000  0.0000  0.0000
Sc  0.5000  0.5000  0.5000
Ge  0.2500  0.2500  0.2500


Version Q
Compound: NdScGe
Source: Alexandria
Functional: PBE
Structure: relaxed

Summary:
total moment: 2.13 μB/cell

Cell lengths 4.3305, 4.3305, 7.9618 Å; angles 90.00, 90.00, 90.00 degrees
Fractional coordinates of all 6 atoms:
Nd  0.2500  0.2500  0.1458
Nd  0.7500  0.7500  0.8542
Sc  0.2500  0.7500  0.5000
Sc  0.7500  0.2500  0.5000
Ge  0.2500  0.2500  0.7404
Ge  0.7500  0.7500  0.2596


Stability verdict: version Q, ahead by 187 meV per atom


Version P
Compound: NdScGe
Source: Alexandria
Functional: PBE
Structure: relaxed

Summary:
total moment: 1.59 μB/cell

Cell lengths 8.5669, 8.5669, 8.5669 Å; angles 150.78, 150.78, 41.79 degrees
Fractional coordinates of all 6 atoms:
Nd  0.1765  0.1765  0.0000
Nd  0.8235  0.8235  0.0000
Sc  0.0000  0.5000  0.5000
Sc  0.5000  0.0000  0.5000
Ge  0.3772  0.3772  0.0000
Ge  0.6228  0.6228  0.0000


Version Q
Compound: NdScGe
Source: Alexandria
Functional: PBE
Structure: relaxed

Summary:
total moment: 0.00 μB/cell

Cell lengths 4.6189, 4.6189, 4.1548 Å; angles 90.00, 90.00, 120.00 degrees
Fractional coordinates of all 3 atoms:
Nd  0.0000  0.0000  0.0000
Sc  0.6667  0.3333  0.4994
Ge  0.3333  0.6667  0.5026


Version R
Compound: NdScGe
Source: Alexandria
Functional: PBE
Structure: relaxed

Summary:
total moment: 0.00 μB/cell

Cell lengths 12.5540, 6.8760, 5.7222 Å; angles 90.00, 90.00, 90.00 degrees
Fractional coordinates of all 18 atoms:
Nd  0.0000  0.1061  0.0000
Nd  0.1670  0.4625  0.7296
Nd  0.3330  0.5375  0.2296
Nd  0.5000  0.8939  0.5000
Nd  0.6670  0.5375  0.2296
Nd  0.8330  0.4625  0.7296
Sc  0.0000  0.5939  0.2352
Sc  0.1653  0.9439  0.5063
Sc  0.3347  0.0561  0.0063
Sc  0.5000  0.4061  0.7352
Sc  0.6653  0.0561  0.0063
Sc  0.8347  0.9439  0.5063
Ge  0.0000  0.2246  0.4981
Ge  0.1658  0.8128  0.0439
Ge  0.3342  0.1872  0.5439
Ge  0.5000  0.7754  0.9981
Ge  0.6658  0.1872  0.5439
Ge  0.8342  0.8128  0.0439


Stability verdict: version P, ahead by 189 meV per atom


Version P
Compound: Nd2Sc3Ge4
Source: Alexandria
Functional: PBE
Structure: relaxed

Summary:
total moment: 0.00 μB/cell

Cell lengths 8.5475, 8.5475, 8.0549 Å; angles 90.00, 90.00, 135.46 degrees
Fractional coordinates of all 18 atoms:
Nd  0.1101  0.8899  0.9093
Nd  0.3899  0.6101  0.4093
Nd  0.6101  0.3899  0.5907
Nd  0.8899  0.1101  0.0907
Sc  0.0000  0.0000  0.5000
Sc  0.0431  0.4569  0.7500
Sc  0.4569  0.0431  0.2500
Sc  0.5000  0.5000  0.0000
Sc  0.5431  0.9569  0.7500
Sc  0.9569  0.5431  0.2500
Ge  0.1901  0.8099  0.5538
Ge  0.2141  0.2859  0.7500
Ge  0.2859  0.2141  0.2500
Ge  0.3099  0.6901  0.0538
Ge  0.6901  0.3099  0.9462
Ge  0.7141  0.7859  0.7500
Ge  0.7859  0.7141  0.2500
Ge  0.8099  0.1901  0.4462


Version Q
Compound: Nd2Sc3Ge4
Source: Alexandria
Functional: PBE
Structure: relaxed

Summary:
total moment: 0.00 μB/cell

Cell lengths 7.5751, 7.6119, 7.3544 Å; angles 90.00, 109.24, 90.00 degrees
Fractional coordinates of all 18 atoms:
Nd  0.1936  0.1740  0.0682
Nd  0.1936  0.3260  0.5682
Nd  0.8064  0.6740  0.4318
Nd  0.8064  0.8260  0.9318
Sc  0.2509  0.6698  0.2496
Sc  0.2509  0.8302  0.7496
Sc  0.5000  0.0000  0.5000
Sc  0.5000  0.5000  0.0000
Sc  0.7491  0.1698  0.2504
Sc  0.7491  0.3302  0.7504
Ge  0.0835  0.5422  0.8596
Ge  0.0835  0.9578  0.3596
Ge  0.4965  0.1310  0.8638
Ge  0.4965  0.3690  0.3638
Ge  0.5035  0.6310  0.6362
Ge  0.5035  0.8690  0.1362
Ge  0.9165  0.0422  0.6404
Ge  0.9165  0.4578  0.1404


Stability verdict: version Q, ahead by 123 meV per atom


Version P
Compound: NdSiGe
Source: Alexandria
Functional: PBE
Structure: relaxed

Summary:
total moment: 0.00 μB/cell

Cell lengths 4.0630, 4.1583, 7.8683 Å; angles 90.00, 90.00, 90.00 degrees
Fractional coordinates of all 6 atoms:
Nd  0.2500  0.0000  0.2343
Nd  0.7500  0.0000  0.7657
Si  0.2500  0.5000  0.9216
Si  0.7500  0.5000  0.0784
Ge  0.2500  0.5000  0.5995
Ge  0.7500  0.5000  0.4005


Version Q
Compound: NdSiGe
Source: Alexandria
Functional: PBE
Structure: relaxed

Summary:
total moment: 0.00 μB/cell

Cell lengths 4.1970, 4.1970, 8.3137 Å; angles 90.00, 90.00, 115.25 degrees
Fractional coordinates of all 6 atoms:
Nd  0.0000  0.0000  0.0000
Nd  0.0000  0.0000  0.5000
Si  0.3266  0.6734  0.7500
Si  0.6734  0.3266  0.2500
Ge  0.3297  0.6703  0.2500
Ge  0.6703  0.3297  0.7500


Version R
Compound: NdSiGe
Source: Alexandria
Functional: PBE
Structure: relaxed

Summary:
total moment: 0.00 μB/cell

Cell lengths 6.0464, 6.0464, 6.0464 Å; angles 140.36, 99.47, 93.75 degrees
Fractional coordinates of all 6 atoms:
Nd  0.2484  0.2484  0.0000
Nd  0.7516  0.7516  0.0000
Si  0.1515  0.5000  0.6515
Si  0.8485  0.5000  0.3485
Ge  0.3268  0.0000  0.3268
Ge  0.6732  0.0000  0.6732


Stability verdict: version P, ahead by 10 meV per atom


Version P
Compound: NdSiGe
Source: Alexandria
Functional: PBE
Structure: relaxed

Summary:
total moment: 0.00 μB/cell

Cell lengths 5.7752, 5.7752, 5.7752 Å; angles 144.61, 144.61, 50.92 degrees
Fractional coordinates of all 3 atoms:
Nd  0.0000  0.0000  0.0000
Si  0.7008  0.7008  0.0000
Ge  0.2947  0.2947  0.0000


Version Q
Compound: NdSiGe
Source: Alexandria
Functional: PBE
Structure: relaxed

Summary:
total moment: 0.00 μB/cell

Cell lengths 8.2849, 8.2849, 8.2849 Å; angles 151.14, 151.07, 41.33 degrees
Fractional coordinates of all 6 atoms:
Nd  0.3691  0.1191  0.2500
Nd  0.6309  0.8809  0.7500
Si  0.2120  0.4620  0.7500
Si  0.7880  0.5380  0.2500
Ge  0.0497  0.2997  0.7500
Ge  0.9503  0.7003  0.2500


Stability verdict: version Q, ahead by 263 meV per atom


Version P
Compound: NdSiGe2
Source: Alexandria
Functional: PBE
Structure: relaxed

Summary:
total moment: 0.00 μB/cell

Cell lengths 6.7774, 6.7774, 6.7774 Å; angles 44.06, 44.06, 44.06 degrees
Fractional coordinates of all 4 atoms:
Nd  0.0000  0.0000  0.0000
Si  0.5000  0.5000  0.5000
Ge  0.3763  0.3763  0.3763
Ge  0.6237  0.6237  0.6237


Version Q
Compound: NdSiGe2
Source: Alexandria
Functional: PBE
Structure: relaxed

Summary:
total moment: 0.00 μB/cell

Cell lengths 4.3449, 4.3449, 4.3971 Å; angles 90.00, 90.00, 90.00 degrees
Fractional coordinates of all 4 atoms:
Nd  0.0000  0.0000  0.0000
Si  0.5000  0.5000  0.0000
Ge  0.0000  0.5000  0.5000
Ge  0.5000  0.0000  0.5000


Stability verdict: version Q, ahead by 675 meV per atom